1.
Here is a relaxed NaCa5Cd3 crystal from the Alexandria database. Energies are from GGA-PBE.

The structure in extended XYZ format:
```
18
Lattice="9.786 0.000 0.000 -4.893 8.475 0.000 0.000 0.000 6.875" Properties=species:S:1:pos:R:3 pbc="T T T"
Na 0.000 0.000 0.000
Na 0.000 0.000 3.437
Ca -1.532 2.653 1.719
Ca -3.361 5.822 5.156
Ca 3.064 0.000 1.719
Ca 1.532 2.653 5.156
Ca 0.000 5.650 0.000
Ca 0.000 5.650 3.437
Ca 4.893 2.825 0.000
Ca 4.893 2.825 3.437
Ca 6.722 0.000 5.156
Ca 3.361 5.822 1.719
Cd -1.749 3.029 5.156
Cd -3.144 5.446 1.719
Cd 3.498 0.000 5.156
Cd 1.749 3.029 1.719
Cd 6.288 0.000 1.719
Cd 3.144 5.446 5.156
```

Values from the calculation:
Formation enthalpy at 0 K   -19 kJ per mole of atoms
DOS at the Fermi energy   18.7 states/eV per cell
VASP energy   -31.76 eV for the cell shown

2.
Here is a relaxed Na4CaCd crystal from the Alexandria database. Energies are from GGA-PBE.

The structure in extended XYZ format:
```
6
Lattice="0.000 4.598 4.598 4.598 0.000 4.598 4.598 4.598 0.000" Properties=species:S:1:pos:R:3 pbc="T T T"
Na 1.154 1.154 1.154
Na 3.445 3.445 1.154
Na 3.445 1.154 3.445
Na 1.154 3.445 3.445
Ca 6.898 6.898 6.898
Cd 4.598 4.598 4.598
```

Values from the calculation:
Formation enthalpy at 0 K   8 kJ per mole of atoms
DOS at the Fermi energy   6.2 states/eV per cell
VASP energy   -7.70 eV for the cell shown

Which of these has the lowest DOS at the Fermi energy? Na4CaCd